The following is a DFT calculation (GGA-PBE) of a geometry-optimized TePd8Au2 structure.

Properties
As for the energy: -52.29 eV/f.u. The value obtained for the raw formation energy is -95 meV/atom. The total magnetization is 0.0 μB per formula unit. The offset from the most stable computed form comes out at 41 meV per atom.

Lattice parameters (Å, degrees): 4.6808 5.8204 13.8934 90.00 90.00 90.00
Closest atoms and distances in Å follow each position.
Space group Immm (No. 71)
One atom of each set of equivalent atoms:
Te1 0.0000 0.0000 0.0000 x2  8 Pd 2.57-2.76
Pd1 0.0000 0.2481 0.5000 x4  2 Te 2.76, 2 Au 2.83, 4 Pd 2.87-2.93
Pd2 0.0000 0.2555 0.1508 x8  1 Te 2.57, 3 Au 2.76-2.84, 4 Pd 2.77-2.85
Pd3 0.0000 0.5000 0.3221 x4  8 Pd 2.77-2.87, 4 Au 2.91-3.10
Au1 0.0000 0.0000 0.3248 x4  10 Pd 2.76-2.91